[1]
# NaCuP2S PBE-GGA optimized geometry
data_NaCuP2S
_chemical_formula_sum 'Na1 Cu1 P2 S1'
_cell_length_a 4.5015
_cell_length_b 4.5015
_cell_length_c 4.9351
_cell_angle_alpha 90.00
_cell_angle_beta 90.00
_cell_angle_gamma 90.00
_space_group_name_H-M_alt 'P 1'
_space_group_IT_number 1
_space_group_name_Hall 'P 1'
loop_
_atom_site_label
_atom_site_type_symbol
_atom_site_fract_x
_atom_site_fract_y
_atom_site_fract_z
Na1 Na 0.0000 0.0000 0.0000
Cu1 Cu 0.5000 0.5000 0.5000
P1 P 0.0000 0.5000 0.5000
P2 P 0.5000 0.0000 0.5000
S1 S 0.5000 0.5000 0.0000
# excess energy over the best structure of this formula in the dataset	0.00	eV/f.u.
# E_form (uncorrected)	0.398	eV/atom

[2]
# NaCuP2S PBE-GGA optimized geometry
data_NaCuP2S
_chemical_formula_sum 'Na1 Cu1 P2 S1'
_cell_length_a 4.8280
_cell_length_b 4.8280
_cell_length_c 4.8061
_cell_angle_alpha 90.00
_cell_angle_beta 90.00
_cell_angle_gamma 90.00
_space_group_name_H-M_alt 'P 1'
_space_group_IT_number 1
_space_group_name_Hall 'P 1'
loop_
_atom_site_label
_atom_site_type_symbol
_atom_site_fract_x
_atom_site_fract_y
_atom_site_fract_z
Na1 Na 0.0000 0.0000 0.0000
Cu1 Cu 0.5000 0.5000 0.5000
P1 P 0.0000 0.5000 0.0000
P2 P 0.5000 0.0000 0.0000
S1 S 0.0000 0.0000 0.5000
# excess energy over the best structure of this formula in the dataset	5.52	eV/f.u.
# E_form (uncorrected)	1.502	eV/atom

[3]
# Na2CuPS4 PBE-GGA optimized geometry
data_Na2CuPS4
_chemical_formula_sum 'Na2 Cu1 P1 S4'
_cell_length_a 6.1874
_cell_length_b 6.1874
_cell_length_c 6.3833
_cell_angle_alpha 121.00
_cell_angle_beta 121.00
_cell_angle_gamma 86.37
_space_group_name_H-M_alt 'P 1'
_space_group_IT_number 1
_space_group_name_Hall 'P 1'
loop_
_atom_site_label
_atom_site_type_symbol
_atom_site_fract_x
_atom_site_fract_y
_atom_site_fract_z
Na1 Na 0.0000 0.0000 0.0000
Na2 Na 0.7502 0.2498 0.5000
Cu1 Cu 0.2490 0.7510 0.5000
P1 P 0.4990 0.5010 0.0000
S1 S 0.2021 0.4709 0.0550
S2 S 0.4142 0.1495 0.6184
S3 S 0.5291 0.7979 0.9450
S4 S 0.8505 0.5858 0.3816
# E_form (uncorrected)	-0.668	eV/atom

[4]
# NaCuP2S6 PBE-GGA optimized geometry
data_NaCuP2S6
_chemical_formula_sum 'Na2 Cu2 P4 S12'
_cell_length_a 8.7671
_cell_length_b 8.7671
_cell_length_c 6.2540
_cell_angle_alpha 104.28
_cell_angle_beta 104.28
_cell_angle_gamma 90.24
_space_group_name_H-M_alt 'P 1'
_space_group_IT_number 1
_space_group_name_Hall 'P 1'
loop_
_atom_site_label
_atom_site_type_symbol
_atom_site_fract_x
_atom_site_fract_y
_atom_site_fract_z
Na1 Na 0.1269 0.8731 0.7500
Na2 Na 0.8731 0.1269 0.2500
Cu1 Cu 0.2440 0.7560 0.2500
Cu2 Cu 0.7560 0.2440 0.7500
P1 P 0.2099 0.3681 0.8001
P2 P 0.3681 0.2099 0.3001
P3 P 0.6319 0.7901 0.6999
P4 P 0.7901 0.6319 0.1999
S1 S 0.0350 0.1978 0.7045
S2 S 0.1461 0.5893 0.9068
S3 S 0.1978 0.0350 0.2045
S4 S 0.3060 0.4114 0.5272
S5 S 0.4114 0.3060 0.0272
S6 S 0.4107 0.8539 0.5932
S7 S 0.5893 0.1461 0.4068
S8 S 0.5886 0.6940 0.9728
S9 S 0.6940 0.5886 0.4728
S10 S 0.8022 0.9650 0.7955
S11 S 0.8539 0.4107 0.0932
S12 S 0.9650 0.8022 0.2955
# E_form (uncorrected)	-0.304	eV/atom

[5]
# NaCu2PS4 PBE-GGA optimized geometry
data_NaCu2PS4
_chemical_formula_sum 'Na1 Cu2 P1 S4'
_cell_length_a 6.1550
_cell_length_b 6.1550
_cell_length_c 6.1550
_cell_angle_alpha 123.74
_cell_angle_beta 123.74
_cell_angle_gamma 83.64
_space_group_name_H-M_alt 'P 1'
_space_group_IT_number 1
_space_group_name_Hall 'P 1'
loop_
_atom_site_label
_atom_site_type_symbol
_atom_site_fract_x
_atom_site_fract_y
_atom_site_fract_z
Na1 Na 0.0000 0.0000 0.0000
Cu1 Cu 0.2500 0.7500 0.5000
Cu2 Cu 0.7500 0.2500 0.5000
P1 P 0.5000 0.5000 0.0000
S1 S 0.1616 0.5702 0.0000
S2 S 0.4298 0.4298 0.5914
S3 S 0.5702 0.1616 0.0000
S4 S 0.8384 0.8384 0.4086
# E_form (uncorrected)	-0.470	eV/atom

[6]
# NaCuPS2 PBE-GGA optimized geometry
data_NaCuPS2
_chemical_formula_sum 'Na1 Cu1 P1 S2'
_cell_length_a 4.8564
_cell_length_b 4.8564
_cell_length_c 4.8254
_cell_angle_alpha 90.00
_cell_angle_beta 90.00
_cell_angle_gamma 90.00
_space_group_name_H-M_alt 'P 1'
_space_group_IT_number 1
_space_group_name_Hall 'P 1'
loop_
_atom_site_label
_atom_site_type_symbol
_atom_site_fract_x
_atom_site_fract_y
_atom_site_fract_z
Na1 Na 0.0000 0.0000 0.0000
Cu1 Cu 0.5000 0.5000 0.5000
P1 P 0.0000 0.0000 0.5000
S1 S 0.0000 0.5000 0.0000
S2 S 0.5000 0.0000 0.0000
# excess energy over the best structure of this formula in the dataset	5.55	eV/f.u.
# E_form (uncorrected)	1.332	eV/atom

[7]
# NaCuP2S8 PBE-GGA optimized geometry
data_NaCuP2S8
_chemical_formula_sum 'Na1 Cu1 P2 S8'
_cell_length_a 5.3732
_cell_length_b 5.3732
_cell_length_c 10.8473
_cell_angle_alpha 90.00
_cell_angle_beta 90.00
_cell_angle_gamma 120.00
_space_group_name_H-M_alt 'P 1'
_space_group_IT_number 1
_space_group_name_Hall 'P 1'
loop_
_atom_site_label
_atom_site_type_symbol
_atom_site_fract_x
_atom_site_fract_y
_atom_site_fract_z
Na1 Na 0.0000 0.0000 0.0000
Cu1 Cu 0.0000 0.0000 0.5000
P1 P 0.3333 0.6667 0.7243
P2 P 0.6667 0.3333 0.2757
S1 S 0.0356 0.6807 0.3536
S2 S 0.3193 0.3550 0.3536
S3 S 0.3333 0.6667 0.9069
S4 S 0.3550 0.0356 0.6464
S5 S 0.6450 0.9644 0.3536
S6 S 0.6667 0.3333 0.0931
S7 S 0.6807 0.6450 0.6464
S8 S 0.9644 0.3193 0.6464
# E_form (uncorrected)	-0.086	eV/atom

[8]
# NaCuP2S PBE-GGA optimized geometry
data_NaCuP2S
_chemical_formula_sum 'Na1 Cu1 P2 S1'
_cell_length_a 4.6157
_cell_length_b 4.6157
_cell_length_c 4.8277
_cell_angle_alpha 90.00
_cell_angle_beta 90.00
_cell_angle_gamma 90.00
_space_group_name_H-M_alt 'P 1'
_space_group_IT_number 1
_space_group_name_Hall 'P 1'
loop_
_atom_site_label
_atom_site_type_symbol
_atom_site_fract_x
_atom_site_fract_y
_atom_site_fract_z
Na1 Na 0.0000 0.0000 0.0000
Cu1 Cu 0.5000 0.5000 0.0000
P1 P 0.0000 0.5000 0.5000
P2 P 0.5000 0.0000 0.5000
S1 S 0.0000 0.0000 0.5000
# excess energy over the best structure of this formula in the dataset	1.53	eV/f.u.
# E_form (uncorrected)	0.704	eV/atom

[9]
# NaCuPS2 PBE-GGA optimized geometry
data_NaCuPS2
_chemical_formula_sum 'Na1 Cu1 P1 S2'
_cell_length_a 4.8126
_cell_length_b 4.8126
_cell_length_c 4.3331
_cell_angle_alpha 90.00
_cell_angle_beta 90.00
_cell_angle_gamma 90.00
_space_group_name_H-M_alt 'P 1'
_space_group_IT_number 1
_space_group_name_Hall 'P 1'
loop_
_atom_site_label
_atom_site_type_symbol
_atom_site_fract_x
_atom_site_fract_y
_atom_site_fract_z
Na1 Na 0.0000 0.0000 0.0000
Cu1 Cu 0.5000 0.5000 0.5000
P1 P 0.5000 0.5000 0.0000
S1 S 0.0000 0.5000 0.5000
S2 S 0.5000 0.0000 0.5000
# excess energy over the best structure of this formula in the dataset	0.00	eV/f.u.
# E_form (uncorrected)	0.223	eV/atom

[10]
# NaCu4SbP2 PBE-GGA optimized geometry
data_NaCu4SbP2
_chemical_formula_sum 'Na1 Cu4 Sb1 P2'
_cell_length_a 3.9952
_cell_length_b 3.9952
_cell_length_c 8.2497
_cell_angle_alpha 90.00
_cell_angle_beta 90.00
_cell_angle_gamma 90.00
_space_group_name_H-M_alt 'P 1'
_space_group_IT_number 1
_space_group_name_Hall 'P 1'
loop_
_atom_site_label
_atom_site_type_symbol
_atom_site_fract_x
_atom_site_fract_y
_atom_site_fract_z
Na1 Na 0.0000 0.0000 0.0000
Cu1 Cu 0.0000 0.5000 0.2767
Cu2 Cu 0.0000 0.5000 0.7233
Cu3 Cu 0.5000 0.0000 0.2767
Cu4 Cu 0.5000 0.0000 0.7233
Sb1 Sb 0.0000 0.0000 0.5000
P1 P 0.5000 0.5000 0.1364
P2 P 0.5000 0.5000 0.8636
# E_form (uncorrected)	-0.154	eV/atom

[11]
# NaScCuP2 PBE-GGA optimized geometry
data_NaScCuP2
_chemical_formula_sum 'Na1 Sc1 Cu1 P2'
_cell_length_a 4.8060
_cell_length_b 4.8060
_cell_length_c 4.3063
_cell_angle_alpha 90.00
_cell_angle_beta 90.00
_cell_angle_gamma 90.00
_space_group_name_H-M_alt 'P 1'
_space_group_IT_number 1
_space_group_name_Hall 'P 1'
loop_
_atom_site_label
_atom_site_type_symbol
_atom_site_fract_x
_atom_site_fract_y
_atom_site_fract_z
Na1 Na 0.0000 0.0000 0.0000
Sc1 Sc 0.5000 0.5000 0.5000
Cu1 Cu 0.0000 0.0000 0.5000
P1 P 0.0000 0.5000 0.0000
P2 P 0.5000 0.0000 0.0000
# formation energy from the elements	0.73	eV per atom

[12]
# NaCuPSe4 PBE-GGA optimized geometry
data_NaCuPSe4
_chemical_formula_sum 'Na1 Cu1 P1 Se4'
_cell_length_a 6.3684
_cell_length_b 6.3684
_cell_length_c 6.3684
_cell_angle_alpha 115.12
_cell_angle_beta 115.12
_cell_angle_gamma 98.68
_space_group_name_H-M_alt 'P 1'
_space_group_IT_number 1
_space_group_name_Hall 'P 1'
loop_
_atom_site_label
_atom_site_type_symbol
_atom_site_fract_x
_atom_site_fract_y
_atom_site_fract_z
Na1 Na 0.0000 0.0000 0.0000
Cu1 Cu 0.5000 0.5000 0.0000
P1 P 0.2500 0.7500 0.5000
Se1 Se 0.2069 0.6467 0.0956
Se2 Se 0.3533 0.4490 0.5602
Se3 Se 0.5510 0.1112 0.9044
Se4 Se 0.8888 0.7931 0.4398
# E_form (uncorrected)	-0.297	eV/atom

[13]
# NaCuP2Se4 PBE-GGA optimized geometry
data_NaCuP2Se4
_chemical_formula_sum 'Na1 Cu1 P2 Se4'
_cell_length_a 6.7029
_cell_length_b 6.7027
_cell_length_c 6.1637
_cell_angle_alpha 62.63
_cell_angle_beta 62.63
_cell_angle_gamma 54.75
_space_group_name_H-M_alt 'P 1'
_space_group_IT_number 1
_space_group_name_Hall 'P 1'
loop_
_atom_site_label
_atom_site_type_symbol
_atom_site_fract_x
_atom_site_fract_y
_atom_site_fract_z
Na1 Na 0.0000 0.0000 0.0000
Cu1 Cu 0.4995 0.4995 0.5005
P1 P 0.2496 0.2496 0.2504
P2 P 0.7496 0.7496 0.7504
Se1 Se 0.1312 0.5794 0.8688
Se2 Se 0.4201 0.8680 0.1320
Se3 Se 0.5794 0.1312 0.4206
Se4 Se 0.8680 0.4201 0.5799
# E_form (uncorrected)	-0.150	eV/atom

[14]
# NaCuP2Se6 PBE-GGA optimized geometry
data_NaCuP2Se6
_chemical_formula_sum 'Na2 Cu2 P4 Se12'
_cell_length_a 9.2335
_cell_length_b 9.2335
_cell_length_c 6.8629
_cell_angle_alpha 106.51
_cell_angle_beta 106.51
_cell_angle_gamma 87.29
_space_group_name_H-M_alt 'P 1'
_space_group_IT_number 1
_space_group_name_Hall 'P 1'
loop_
_atom_site_label
_atom_site_type_symbol
_atom_site_fract_x
_atom_site_fract_y
_atom_site_fract_z
Na1 Na 0.1439 0.8561 0.7500
Na2 Na 0.8561 0.1439 0.2500
Cu1 Cu 0.2358 0.7642 0.2500
Cu2 Cu 0.7642 0.2358 0.7500
P1 P 0.2080 0.3626 0.8033
P2 P 0.3626 0.2080 0.3033
P3 P 0.6374 0.7920 0.6967
P4 P 0.7920 0.6374 0.1967
Se1 Se 0.0310 0.1816 0.6919
Se2 Se 0.1280 0.5931 0.9120
Se3 Se 0.1816 0.0310 0.1919
Se4 Se 0.2973 0.4153 0.5406
Se5 Se 0.4069 0.8720 0.5880
Se6 Se 0.4153 0.2973 0.0406
Se7 Se 0.5847 0.7027 0.9594
Se8 Se 0.5931 0.1280 0.4120
Se9 Se 0.7027 0.5847 0.4594
Se10 Se 0.8184 0.9690 0.8081
Se11 Se 0.8720 0.4069 0.0880
Se12 Se 0.9690 0.8184 0.3081
# E_form (uncorrected)	-0.176	eV/atom

[15]
# NaCu2PSe4 PBE-GGA optimized geometry
data_NaCu2PSe4
_chemical_formula_sum 'Na1 Cu2 P1 Se4'
_cell_length_a 6.5466
_cell_length_b 6.5466
_cell_length_c 6.5466
_cell_angle_alpha 124.10
_cell_angle_beta 124.10
_cell_angle_gamma 83.04
_space_group_name_H-M_alt 'P 1'
_space_group_IT_number 1
_space_group_name_Hall 'P 1'
loop_
_atom_site_label
_atom_site_type_symbol
_atom_site_fract_x
_atom_site_fract_y
_atom_site_fract_z
Na1 Na 0.0000 0.0000 0.0000
Cu1 Cu 0.2500 0.7500 0.5000
Cu2 Cu 0.7500 0.2500 0.5000
P1 P 0.5000 0.5000 0.0000
Se1 Se 0.1515 0.5720 0.0000
Se2 Se 0.4280 0.4280 0.5795
Se3 Se 0.5720 0.1515 0.0000
Se4 Se 0.8485 0.8485 0.4205
# E_form (uncorrected)	-0.337	eV/atom

[16]
# Na2CuPSe4 PBE-GGA optimized geometry
data_Na2CuPSe4
_chemical_formula_sum 'Na2 Cu1 P1 Se4'
_cell_length_a 6.4218
_cell_length_b 6.4219
_cell_length_c 6.4219
_cell_angle_alpha 99.90
_cell_angle_beta 114.44
_cell_angle_gamma 114.42
_space_group_name_H-M_alt 'P 1'
_space_group_IT_number 1
_space_group_name_Hall 'P 1'
loop_
_atom_site_label
_atom_site_type_symbol
_atom_site_fract_x
_atom_site_fract_y
_atom_site_fract_z
Na1 Na 0.0000 0.0000 0.0000
Na2 Na 0.4991 0.7492 0.2514
Cu1 Cu 0.0000 0.5021 0.5011
P1 P 0.5001 0.2508 0.7519
Se1 Se 0.1183 0.8847 0.4384
Se2 Se 0.4460 0.5642 0.6844
Se3 Se 0.5545 0.2349 0.1187
Se4 Se 0.8815 0.3197 0.7656
# E_form (uncorrected)	-0.538	eV/atom

[17]
# NaCuSiP2 PBE-GGA optimized geometry
data_NaCuSiP2
_chemical_formula_sum 'Na2 Cu2 Si2 P4'
_cell_length_a 6.5354
_cell_length_b 6.1021
_cell_length_c 5.9757
_cell_angle_alpha 90.00
_cell_angle_beta 99.67
_cell_angle_gamma 90.00
_space_group_name_H-M_alt 'P 1'
_space_group_IT_number 1
_space_group_name_Hall 'P 1'
loop_
_atom_site_label
_atom_site_type_symbol
_atom_site_fract_x
_atom_site_fract_y
_atom_site_fract_z
Na1 Na 0.0000 0.1580 0.2500
Na2 Na 0.0000 0.8420 0.7500
Cu1 Cu 0.5000 0.5000 0.0000
Cu2 Cu 0.5000 0.5000 0.5000
Si1 Si 0.5000 0.0034 0.2500
Si2 Si 0.5000 0.9966 0.7500
P1 P 0.3098 0.1987 0.9627
P2 P 0.3098 0.8013 0.4627
P3 P 0.6902 0.1987 0.5373
P4 P 0.6902 0.8013 0.0373
# E_form (uncorrected)	-0.197	eV/atom

[18]
# NaTa2CuP PBE-GGA optimized geometry
data_NaTa2CuP
_chemical_formula_sum 'Na1 Ta2 Cu1 P1'
_cell_length_a 4.7739
_cell_length_b 4.7739
_cell_length_c 4.1039
_cell_angle_alpha 90.00
_cell_angle_beta 90.00
_cell_angle_gamma 90.00
_space_group_name_H-M_alt 'P 1'
_space_group_IT_number 1
_space_group_name_Hall 'P 1'
loop_
_atom_site_label
_atom_site_type_symbol
_atom_site_fract_x
_atom_site_fract_y
_atom_site_fract_z
Na1 Na 0.0000 0.0000 0.0000
Ta1 Ta 0.0000 0.5000 0.0000
Ta2 Ta 0.5000 0.0000 0.0000
Cu1 Cu 0.0000 0.0000 0.5000
P1 P 0.5000 0.5000 0.5000
# formation energy from the elements	2.19	eV per atom

[19]
# NaCuTcP PBE-GGA optimized geometry
data_NaCuTcP
_chemical_formula_sum 'Na2 Cu2 Tc2 P2'
_cell_length_a 3.7530
_cell_length_b 3.7530
_cell_length_c 10.8787
_cell_angle_alpha 90.00
_cell_angle_beta 90.00
_cell_angle_gamma 90.00
_space_group_name_H-M_alt 'P 1'
_space_group_IT_number 1
_space_group_name_Hall 'P 1'
loop_
_atom_site_label
_atom_site_type_symbol
_atom_site_fract_x
_atom_site_fract_y
_atom_site_fract_z
Na1 Na 0.2500 0.2500 0.2270
Na2 Na 0.7500 0.7500 0.7730
Cu1 Cu 0.2500 0.7500 0.0000
Cu2 Cu 0.7500 0.2500 0.0000
Tc1 Tc 0.2500 0.7500 0.5000
Tc2 Tc 0.7500 0.2500 0.5000
P1 P 0.2500 0.2500 0.6392
P2 P 0.7500 0.7500 0.3608
# formation energy from the elements	-0.08	eV per atom

[20]
# NaCuTeP2 PBE-GGA optimized geometry
data_NaCuTeP2
_chemical_formula_sum 'Na1 Cu1 Te1 P2'
_cell_length_a 4.5401
_cell_length_b 4.5401
_cell_length_c 5.5191
_cell_angle_alpha 90.00
_cell_angle_beta 90.00
_cell_angle_gamma 90.00
_space_group_name_H-M_alt 'P 1'
_space_group_IT_number 1
_space_group_name_Hall 'P 1'
loop_
_atom_site_label
_atom_site_type_symbol
_atom_site_fract_x
_atom_site_fract_y
_atom_site_fract_z
Na1 Na 0.0000 0.0000 0.0000
Cu1 Cu 0.5000 0.5000 0.5000
Te1 Te 0.5000 0.5000 0.0000
P1 P 0.0000 0.5000 0.5000
P2 P 0.5000 0.0000 0.5000
# E_form (uncorrected)	0.350	eV/atom

Sequential volume output: 100.0, 112.0, 172.6, 450.4, 154.5, 113.8, 271.2, 102.9, 100.4, 131.7, 99.5, 193.7, 193.5, 537.5, 184.6, 199.9, 234.9, 93.5, 153.2, 113.8 Å³/cell